Compound: SrHg2TeO6
Source: Alexandria
Functional: PBE
Structure: relaxed Values from VASP.

```
&SYSTEM
  ibrav = 0, nat = 10, ntyp = 4
/
ATOMIC_SPECIES
O 16.00 O.upf
Hg 200.59 Hg.upf
Sr 87.62 Sr.upf
Te 127.60 Te.upf
CELL_PARAMETERS angstrom
-0.8054 4.9368 -2.8731
-2.5528 -0.0570 -5.1727
-5.9192 2.2183 -0.3198
ATOMIC_POSITIONS angstrom
O -3.7207 5.4083 -5.7069
O -5.7370 5.0609 -2.6067
O -4.2330 1.5795 -5.7888
O -6.1232 2.2962 -2.6980
O -2.5292 3.2363 -2.7421
O -6.9722 3.8960 -4.8242
Hg -3.3108 3.3854 -4.8363
Hg -5.3422 2.1471 -0.6036
Sr -6.0054 5.2062 -6.7430
Te -1.3666 1.6571 -2.5603
```

formation energy (no corrections)	-11.71	eV per formula unit
M_tot	0.0	Bohr magnetons per cell